Below is an optimized crystal structure of Hf3MgIn4, with properties calculated at the PBE level.

Cell: 6.179 6.161 9.175 Å, 90.00 90.00 90.00°
Fractional positions:
In1 0.690 0.500 0.000
In2 0.189 0.000 0.000
In3 0.190 0.500 0.500
In4 0.689 0.000 0.500
In5 0.439 0.750 0.750
In6 0.939 0.250 0.750
In7 0.939 0.250 0.250
In8 0.439 0.750 0.250
Mg1 0.189 0.500 0.000
Mg2 0.689 0.500 0.500
Hf1 0.189 0.000 0.500
Hf2 0.939 0.757 0.250
Hf3 0.939 0.757 0.750
Hf4 0.439 0.243 0.750
Hf5 0.439 0.243 0.250
Hf6 0.689 0.000 0.000

The space-group type is Pmna (53). The calculation puts the spin magnetization at 0.0 μB per formula unit. As for the calculated formation energy: -92.3 kJ/mol of formula units. As for the density of states at the Fermi level: 9.6 states/eV per cell.